No. 1
Compound: Dy5MgAu4
Source: the Alexandria database
Functional: PBE-GGA
Structure: relaxed

```
data_Dy5MgAu4
_symmetry_space_group_name_H-M 'P 4/m m m'
_symmetry_Int_Tables_number 123
_symmetry_space_group_name_Hall '-P 4 2'
_cell_length_a 3.623
_cell_length_b 3.623
_cell_length_c 18.264
_cell_angle_alpha 90.00
_cell_angle_beta 90.00
_cell_angle_gamma 90.00
loop_
_atom_site_label
_atom_site_fract_x
_atom_site_fract_y
_atom_site_fract_z
Dy1 0.000 0.000 0.000
Dy2 0.000 0.000 0.196
Dy3 0.000 0.000 0.390
Mg1 0.500 0.500 0.500
Au1 0.500 0.500 0.098
Au2 0.500 0.500 0.299
```

Calculated formation energy, eV/atom: -0.7050
Magnetic moment, μB per cell: 0.000

***

No. 2
Compound: DyMgAu4
Source: the Alexandria database
Functional: PBE-GGA
Structure: relaxed

```
data_DyMgAu4
_symmetry_space_group_name_H-M 'C 1 2/m 1'
_symmetry_Int_Tables_number 12
_symmetry_space_group_name_Hall '-C 2y'
_cell_length_a 9.621
_cell_length_b 3.680
_cell_length_c 7.192
_cell_angle_alpha 90.00
_cell_angle_beta 111.08
_cell_angle_gamma 90.00
loop_
_atom_site_label
_atom_site_fract_x
_atom_site_fract_y
_atom_site_fract_z
Dy1 0.000 0.000 0.000
Mg1 0.000 0.000 0.500
Au1 0.162 0.500 0.342
Au2 0.164 0.500 0.816
```

Calculated formation energy, eV/atom: -0.6523
Magnetic moment, μB per cell: 0.000

***

No. 3
Compound: DyMg11Au
Source: the Alexandria database
Functional: PBE-GGA
Structure: relaxed

```
data_DyMg11Au
_symmetry_space_group_name_H-M 'C 1 2/m 1'
_symmetry_Int_Tables_number 12
_symmetry_space_group_name_Hall '-C 2y'
_cell_length_a 5.728
_cell_length_b 14.355
_cell_length_c 7.652
_cell_angle_alpha 90.00
_cell_angle_beta 110.71
_cell_angle_gamma 90.00
loop_
_atom_site_label
_atom_site_fract_x
_atom_site_fract_y
_atom_site_fract_z
Dy1 0.000 0.000 0.000
Mg1 0.000 0.000 0.500
Mg2 0.098 0.397 0.215
Mg3 0.184 0.171 0.357
Mg4 0.250 0.250 0.000
Au1 0.000 0.500 0.500
```

Calculated formation energy, eV/atom: -0.1289
Magnetic moment, μB per cell: 0.000